Here is K2DyOsO6 after structural relaxation from Alexandria. Energies are from PBE.

Unit cell a=8.3201 b=8.3201 c=8.3201 alpha=90.00 beta=90.00 gamma=90.00
Space group Fm-3m (No. 225)
Unique sites:
K (0.2500, 0.2500, 0.2500) [8 per cell]
Dy (0.0000, 0.0000, 0.0000) [4 per cell]
Os (0.0000, 0.0000, 0.5000) [4 per cell]
O (0.0000, 0.0000, 0.2711) [24 per cell]

* crystal system: cubic
* uncorrected formation energy: -1.94 eV/atom
* density: 6.1 g/cm3

***

Here is NpPC after structural relaxation from Alexandria. Energies are from PBE.

Unit cell a=3.7622 b=3.7622 c=6.6161 alpha=90.00 beta=90.00 gamma=90.00
Space group I4mm (No. 107)
Unique sites:
Np (0.0000, 0.0000, 0.0000) [2 per cell]
P (0.0000, 0.0000, 0.6066) [2 per cell]
C (0.0000, 0.0000, 0.3459) [2 per cell]

* crystal system: tetragonal
* ΔE_f: 0.3 eV/f.u.
* density: 9.9 g/cm3

***

Here is NaScSiS4 after structural relaxation from Alexandria. Energies are from PBE.

Unit cell a=6.1897 b=6.6006 c=7.8245 alpha=90.00 beta=106.20 gamma=90.00
Space group P2_1/m (No. 11)
Unique sites:
Na (0.2401, 0.2500, 0.0573) [2 per cell]
Sc (0.2178, 0.2500, 0.5505) [2 per cell]
Si (0.2472, 0.7500, 0.3286) [2 per cell]
S (0.0101, 0.5039, 0.2838) [4 per cell]
S (0.4540, 0.7500, 0.5923) [2 per cell]
S (0.4551, 0.7500, 0.1586) [2 per cell]

* crystal system: monoclinic
* uncorrected formation energy: -1.23 eV/atom
* density: 2.4 g/cm3

***

Here is SrLaAgPd after structural relaxation from Alexandria. Energies are from PBE.

Unit cell a=4.5630 b=4.1693 c=11.9674 alpha=90.00 beta=90.00 gamma=90.00
Space group Amm2 (No. 38)
Unique sites:
Sr (0.0000, 0.0000, 0.0000) [2 per cell]
La (0.5000, 0.0000, 0.7241) [2 per cell]
Ag (0.5000, 0.0000, 0.4297) [2 per cell]
Pd (0.0000, 0.0000, 0.2702) [2 per cell]

* crystal system: orthorhombic
* ΔE_f: -2.0 eV/f.u.
* density: 6.4 g/cm3

***

Here is Na2TlAuO after structural relaxation from Alexandria. Energies are from PBE.

Unit cell a=4.4916 b=4.4916 c=5.1445 alpha=90.00 beta=90.00 gamma=90.00
Space group P4/mmm (No. 123)
Unique sites:
Na (0.0000, 0.5000, 0.0000) [2 per cell]
Tl (0.0000, 0.0000, 0.5000) [1 per cell]
Au (0.5000, 0.5000, 0.5000) [1 per cell]
O (0.0000, 0.0000, 0.0000) [1 per cell]

* crystal system: tetragonal
* uncorrected formation energy: -0.65 eV/atom
* density: 7.4 g/cm3

***

Here is Ho2MgAg after structural relaxation from Alexandria. Energies are from PBE.

Unit cell a=3.7115 b=3.7115 c=7.2823 alpha=90.00 beta=90.00 gamma=90.00
Space group P4/mmm (No. 123)
Unique sites:
Ho (0.0000, 0.0000, 0.2405) [2 per cell]
Mg (0.5000, 0.5000, 0.5000) [1 per cell]
Ag (0.5000, 0.5000, 0.0000) [1 per cell]

* crystal system: tetragonal
* ΔE_f: -0.8 eV/f.u.
* density: 7.6 g/cm3

***

Here is LiGaRu after structural relaxation from Alexandria. Energies are from PBE.

Unit cell a=2.7218 b=4.2285 c=4.6836 alpha=90.00 beta=90.00 gamma=90.00
Space group Pmmm (No. 47)
Unique sites:
Li (0.0000, 0.0000, 0.0000) [1 per cell]
Ga (0.0000, 0.5000, 0.5000) [1 per cell]
Ru (0.5000, 0.0000, 0.5000) [1 per cell]

* crystal system: orthorhombic
* ΔE_f: -0.1 eV/f.u.
* density: 5.5 g/cm3

***

Here is Ce3Pb2N after structural relaxation from Alexandria. Energies are from PBE.

Unit cell a=11.0311 b=9.0717 c=6.5501 alpha=90.00 beta=90.00 gamma=90.00
Space group Cmcm (No. 63)
Unique sites:
Ce (0.0000, 0.1650, 0.2500) [4 per cell]
Ce (0.1526, 0.5000, 0.0000) [8 per cell]
Pb (0.1400, 0.1817, 0.7500) [8 per cell]
N (0.0000, 0.4159, 0.2500) [4 per cell]

* crystal system: orthorhombic
* uncorrected formation energy: -0.67 eV/atom
* density: 8.6 g/cm3

***

Here is Sm6Tm8Tl after structural relaxation from Alexandria. Energies are from PBE.

Unit cell a=9.2534 b=9.2534 c=6.6715 alpha=90.00 beta=90.00 gamma=120.00
Space group P-3 (No. 147)
Unique sites:
Sm (0.0814, 0.6839, 0.0994) [6 per cell]
Tm (0.0199, 0.3356, 0.3969) [6 per cell]
Tm (0.3333, 0.6667, 0.6767) [2 per cell]
Tl (0.0000, 0.0000, 0.0000) [1 per cell]

* crystal system: trigonal
* ΔE_f: 3.2 eV/f.u.
* density: 8.3 g/cm3

***

Here is TbMg7 after structural relaxation from Alexandria. Energies are from PBE.

Unit cell a=4.5956 b=4.5956 c=18.3763 alpha=90.00 beta=90.00 gamma=90.00
Space group I4/mmm (No. 139)
Unique sites:
Tb (0.0000, 0.0000, 0.0000) [2 per cell]
Mg (0.0000, 0.0000, 0.2452) [4 per cell]
Mg (0.0000, 0.0000, 0.5000) [2 per cell]
Mg (0.0000, 0.5000, 0.1286) [8 per cell]

* crystal system: tetragonal
* ΔE_f: -0.3 eV/f.u.
* density: 2.8 g/cm3

***

Here is Ba3LuIr2O9 after structural relaxation from Alexandria. Energies are from PBE.

Unit cell a=5.9103 b=5.9103 c=14.5769 alpha=90.00 beta=90.00 gamma=120.00
Space group P6_3/mmc (No. 194)
Unique sites:
Ba (0.0000, 0.0000, 0.2500) [2 per cell]
Ba (0.3333, 0.6667, 0.0901) [4 per cell]
Lu (0.0000, 0.0000, 0.0000) [2 per cell]
Ir (0.3333, 0.6667, 0.6632) [4 per cell]
O (0.0177, 0.5088, 0.7500) [6 per cell]
O (0.1743, 0.3485, 0.5849) [12 per cell]

* crystal system: hexagonal
* uncorrected formation energy: -2.14 eV/atom
* density: 8.4 g/cm3

***

Here is Li2AcAg4 after structural relaxation from Alexandria. Energies are from PBE.

Unit cell a=6.5132 b=6.5132 c=8.5901 alpha=90.00 beta=90.00 gamma=90.00
Space group I4/mmm (No. 139)
Unique sites:
Li (0.0000, 0.5000, 0.2500) [4 per cell]
Ac (0.0000, 0.0000, 0.0000) [2 per cell]
Ag (0.0000, 0.2902, 0.5000) [8 per cell]

* crystal system: tetragonal
* ΔE_f: 0.4 eV/f.u.
* density: 6.1 g/cm3

***

Here is PuUPdRu after structural relaxation from Alexandria. Energies are from PBE.

Unit cell a=6.5493 b=6.5493 c=6.5493 alpha=90.00 beta=90.00 gamma=90.00
Space group F-43m (No. 216)
Unique sites:
Pu (0.0000, 0.0000, 0.0000) [4 per cell]
U (0.2500, 0.2500, 0.7500) [4 per cell]
Pd (0.2500, 0.2500, 0.2500) [4 per cell]
Ru (0.0000, 0.0000, 0.5000) [4 per cell]

* crystal system: cubic
* ΔE_f: -1.4 eV/f.u.
* density: 16.3 g/cm3

***

Here is Ba3Sn9Au2 after structural relaxation from Alexandria. Energies are from PBE.

Unit cell a=4.8176 b=12.4322 c=14.0736 alpha=90.00 beta=90.00 gamma=90.00
Space group Immm (No. 71)
Unique sites:
Ba (0.0000, 0.0000, 0.0000) [2 per cell]
Ba (0.0000, 0.0000, 0.3086) [4 per cell]
Sn (0.0000, 0.2887, 0.1396) [8 per cell]
Sn (0.0000, 0.3594, 0.3566) [8 per cell]
Sn (0.0000, 0.5000, 0.0000) [2 per cell]
Au (0.0000, 0.1813, 0.5000) [4 per cell]

* crystal system: orthorhombic
* ΔE_f: -5.5 eV/f.u.
* density: 7.4 g/cm3

***

Here is UBiRh2 after structural relaxation from Alexandria. Energies are from PBE.

Unit cell a=3.7066 b=3.7066 c=21.7703 alpha=90.00 beta=90.00 gamma=120.00
Space group R-3m (No. 166, hexagonal axes)
Unique sites:
U (0.0000, 0.0000, 0.0000) [3 per cell]
Bi (0.0000, 0.0000, 0.5000) [3 per cell]
Rh (0.0000, 0.0000, 0.2605) [6 per cell]

* crystal system: trigonal
* ΔE_f: -0.9 eV/f.u.
* density: 12.6 g/cm3